# Tb2PmDy5Ho | Alexandria via LeMat-Bulk | PBE-GGA | optimized geometry
# - Space group: I4/mcm, No. 140
# - Calculated formation energy: 0.2912 eV/atom
data_Tb2PmDy5Ho
_cell_length_a 9.7074
_cell_length_b 9.7074
_cell_length_c 9.7074
_cell_angle_alpha 125.52
_cell_angle_beta 125.52
_cell_angle_gamma 80.68
_space_group_name_H-M_alt 'P 1'
_space_group_IT_number 1
_space_group_name_Hall 'P 1'
loop_
_atom_site_label
_atom_site_type_symbol
_atom_site_fract_x
_atom_site_fract_y
_atom_site_fract_z
Tb1 Tb 0.1134 0.6134 0.7268
Tb2 Tb 0.3866 0.1134 0.5000
Tb3 Tb 0.6134 0.8866 0.5000
Tb4 Tb 0.8866 0.3866 0.2732
Pm1 Pm 0.2500 0.2500 0.0000
Pm2 Pm 0.7500 0.7500 0.0000
Dy1 Dy 0.0000 0.0000 0.0000
Dy2 Dy 0.0725 0.1604 0.5000
Dy3 Dy 0.1604 0.6604 0.0879
Dy4 Dy 0.3396 0.4275 0.5000
Dy5 Dy 0.4275 0.9275 0.0879
Dy6 Dy 0.5000 0.5000 0.0000
Dy7 Dy 0.5725 0.0725 0.9121
Dy8 Dy 0.6604 0.5725 0.5000
Dy9 Dy 0.8396 0.3396 0.9121
Dy10 Dy 0.9275 0.8396 0.5000
Ho1 Ho 0.2500 0.7500 0.5000
Ho2 Ho 0.7500 0.2500 0.5000